(1)
Compound: BaReAg3
Source: the Alexandria database
Functional: PBE
Structure: relaxed

Summary:
relative energy among the computed polymorphs: 1346 meV per atom
formation enthalpy at 0 K: 205 kJ per mole of atoms
E_tot: -12.28 eV/cell

Cell lengths 6.014, 6.014, 6.014 Å; angles 90.00, 90.00, 90.00 degrees
Fractional positions:
Ba  0.000  0.000  0.000
Re  0.500  0.500  0.500
Ag  0.000  0.000  0.500
Ag  0.000  0.500  0.000
Ag  0.500  0.000  0.000

(2)
Compound: Ba2ReAg
Source: the Alexandria database
Functional: PBE
Structure: relaxed

Summary:
relative energy among the computed polymorphs: 138 meV per atom
formation enthalpy at 0 K: 82 kJ per mole of atoms
E_tot: -62.92 eV/cell

Cell lengths 7.955, 7.955, 7.955 Å; angles 90.00, 90.00, 90.00 degrees
Fractional positions:
Ba  0.250  0.250  0.250
Ba  0.250  0.250  0.750
Ba  0.250  0.750  0.250
Ba  0.250  0.750  0.750
Ba  0.750  0.250  0.250
Ba  0.750  0.250  0.750
Ba  0.750  0.750  0.250
Ba  0.750  0.750  0.750
Re  0.000  0.000  0.000
Re  0.000  0.500  0.500
Re  0.500  0.000  0.500
Re  0.500  0.500  0.000
Ag  0.000  0.000  0.500
Ag  0.000  0.500  0.000
Ag  0.500  0.000  0.000
Ag  0.500  0.500  0.500

(3)
Compound: Ba2ReAg
Source: the Alexandria database
Functional: PBE
Structure: relaxed

Summary:
relative energy among the computed polymorphs: 359 meV per atom
formation enthalpy at 0 K: 104 kJ per mole of atoms
E_tot: -59.38 eV/cell

Cell lengths 8.770, 8.770, 6.594 Å; angles 90.00, 90.00, 90.00 degrees
Fractional positions:
Ba  0.225  0.250  0.125
Ba  0.250  0.725  0.375
Ba  0.250  0.775  0.875
Ba  0.275  0.250  0.625
Ba  0.725  0.750  0.625
Ba  0.750  0.225  0.875
Ba  0.750  0.275  0.375
Ba  0.775  0.750  0.125
Re  0.000  0.000  0.000
Re  0.000  0.500  0.250
Re  0.500  0.000  0.750
Re  0.500  0.500  0.500
Ag  0.000  0.000  0.500
Ag  0.000  0.500  0.750
Ag  0.500  0.000  0.250
Ag  0.500  0.500  0.000

(4)
Compound: BaReAg3
Source: the Alexandria database
Functional: PBE
Structure: relaxed

Summary:
relative energy among the computed polymorphs: 0 meV per atom
formation enthalpy at 0 K: 76 kJ per mole of atoms
E_tot: -19.01 eV/cell

Cell lengths 5.217, 5.217, 5.217 Å; angles 90.00, 90.00, 90.00 degrees
Fractional positions:
Ba  0.000  0.000  0.000
Re  0.500  0.500  0.500
Ag  0.000  0.500  0.500
Ag  0.500  0.000  0.500
Ag  0.500  0.500  0.000

(5)
Compound: Ba2ReAg
Source: the Alexandria database
Functional: PBE
Structure: relaxed

Summary:
relative energy among the computed polymorphs: 306 meV per atom
formation enthalpy at 0 K: 99 kJ per mole of atoms
E_tot: -45.17 eV/cell

Cell lengths 3.744, 3.744, 30.308 Å; angles 90.00, 90.00, 120.00 degrees
Fractional positions:
Ba  0.000  0.000  0.243
Ba  0.000  0.000  0.757
Ba  0.333  0.667  0.424
Ba  0.333  0.667  0.909
Ba  0.667  0.333  0.091
Ba  0.667  0.333  0.576
Re  0.000  0.000  0.500
Re  0.333  0.667  0.167
Re  0.667  0.333  0.833
Ag  0.000  0.000  0.000
Ag  0.333  0.667  0.667
Ag  0.667  0.333  0.333

(6)
Compound: Ba2ReAg
Source: the Alexandria database
Functional: PBE
Structure: relaxed

Summary:
relative energy among the computed polymorphs: 258 meV per atom
formation enthalpy at 0 K: 94 kJ per mole of atoms
E_tot: -30.50 eV/cell

Cell lengths 8.703, 3.203, 9.032 Å; angles 90.00, 94.50, 90.00 degrees
Fractional positions:
Ba  0.247  0.000  0.228
Ba  0.253  0.500  0.772
Ba  0.747  0.500  0.228
Ba  0.753  0.000  0.772
Re  0.000  0.500  0.000
Re  0.500  0.000  0.000
Ag  0.000  0.000  0.500
Ag  0.500  0.500  0.500

(7)
Compound: BaRe3Ag
Source: the Alexandria database
Functional: PBE
Structure: relaxed

Summary:
relative energy among the computed polymorphs: 0 meV per atom
formation enthalpy at 0 K: 255 kJ per mole of atoms
E_tot: -28.93 eV/cell

Cell lengths 4.997, 4.997, 4.997 Å; angles 90.00, 90.00, 90.00 degrees
Fractional positions:
Ba  0.000  0.000  0.000
Re  0.000  0.500  0.500
Re  0.500  0.000  0.500
Re  0.500  0.500  0.000
Ag  0.500  0.500  0.500

(8)
Compound: Ba2ReAg
Source: the Alexandria database
Functional: PBE
Structure: relaxed

Summary:
relative energy among the computed polymorphs: 79 meV per atom
formation enthalpy at 0 K: 77 kJ per mole of atoms
E_tot: -31.93 eV/cell

Cell lengths 12.705, 3.662, 5.609 Å; angles 90.00, 110.43, 90.00 degrees
Fractional positions:
Ba  0.000  0.000  0.000
Ba  0.201  0.000  0.664
Ba  0.500  0.500  0.000
Ba  0.701  0.500  0.664
Re  0.452  0.000  0.464
Re  0.952  0.500  0.464
Ag  0.282  0.500  0.242
Ag  0.782  0.000  0.242

- Which of these has the highest E_tot?
  number 1

Copy entry 6 word for word.
Compound: Ba2ReAg
Source: the Alexandria database
Functional: PBE
Structure: relaxed

Summary:
relative energy among the computed polymorphs: 258 meV per atom
formation enthalpy at 0 K: 94 kJ per mole of atoms
E_tot: -30.50 eV/cell

Cell lengths 8.703, 3.203, 9.032 Å; angles 90.00, 94.50, 90.00 degrees
Fractional positions:
Ba  0.247  0.000  0.228
Ba  0.253  0.500  0.772
Ba  0.747  0.500  0.228
Ba  0.753  0.000  0.772
Re  0.000  0.500  0.000
Re  0.500  0.000  0.000
Ag  0.000  0.000  0.500
Ag  0.500  0.500  0.500